# KHfZnSe3 (PBE-GGA, relaxed)
data_KHfZnSe3
_chemical_formula_sum 'K2 Hf2 Zn2 Se6'
_symmetry_space_group_name_H-M 'P 1 21/m 1'
_symmetry_Int_Tables_number 11
_symmetry_space_group_name_Hall '-P 2yb'
_cell_length_a 3.8938
_cell_length_b 10.3987
_cell_length_c 7.8839
_cell_angle_alpha 90.00
_cell_angle_beta 104.27
_cell_angle_gamma 90.00
loop_
_atom_site_label
_atom_site_type_symbol
_atom_site_fract_x
_atom_site_fract_y
_atom_site_fract_z
K1 K 0.2476 0.2500 0.4960
Hf1 Hf 0.0000 0.0000 0.0000
Zn1 Zn 0.4650 0.7500 0.9291
Se1 Se 0.0680 0.7500 0.1355
Se2 Se 0.3782 0.5520 0.7560
# Spin magnetization ... 0.74 μB per formula unit
# Formation energy (no corrections) ... -1.013 eV per atom